(1)
Below is crystalline LuPaNi4 at its relaxed geometry, with properties calculated at the PBE level.

Output
E_tot: -6.600 eV/atom

a = 5.0333 Å, b = 5.0333 Å, c = 5.0333 Å
α = 60.00°, β = 60.00°, γ = 60.00°
Fractional coordinates of all 6 atoms:
Lu 0.0000 0.0000 0.0000
Pa 0.2500 0.2500 0.2500
Ni 0.1236 0.6255 0.6255
Ni 0.6255 0.1236 0.6255
Ni 0.6255 0.6255 0.1236
Ni 0.6255 0.6255 0.6255

(2)
Below is crystalline LuPaNi2 at its relaxed geometry, with properties calculated at the PBE level.

Output
E_tot: -6.724 eV/atom

a = 3.2671 Å, b = 3.2671 Å, c = 6.8957 Å
α = 90.00°, β = 90.00°, γ = 90.00°
Fractional coordinates of all 4 atoms:
Lu 0.0000 0.0000 0.0000
Pa 0.0000 0.0000 0.5000
Ni 0.5000 0.5000 0.2497
Ni 0.5000 0.5000 0.7503

(3)
Below is crystalline LuPaNiPd at its relaxed geometry, with properties calculated at the PBE level.

Output
E_tot: -6.660 eV/atom

a = 4.8441 Å, b = 4.8441 Å, c = 4.8441 Å
α = 60.00°, β = 60.00°, γ = 60.00°
Fractional coordinates of all 4 atoms:
Lu 0.0000 0.0000 0.0000
Pa 0.5000 0.5000 0.5000
Ni 0.7500 0.7500 0.7500
Pd 0.2500 0.2500 0.2500

- Number 3 is which compound?
  LuPaNiPd

- The lowest E_tot belongs to which entry?
  LuPaNi2

- Which of these has the highest E_tot?
  LuPaNi4

- Which formula does entry 3 have?
  LuPaNiPd